UVF2 (GGA+U, optimized geometry); electronic total energy = -28.2 eV/cell; ρ = 8.04 g/cm3; total magnetization = 6.045 μB/f.u.; calculated volume = 16.9 A^3/atom
1.0
-2.649 -0.833 -1.467
-0.124 -2.695 -1.608
-3.343 -4.948 5.483
F U V
2 1 1
direct
0.879 0.879 0.363 F
0.121 0.121 0.637 F
0.000 0.000 0.000 U
0.500 0.500 0.500 V